A plane-wave DFT calculation with PBE was carried out for a relaxed structure of FeAg2As.

- Crystal system: monoclinic
- DOS(E_F): 0.81 states/eV/atom
- Spin magnetization: 1.91 μB/cell
- Formation energy: 0.155 eV per atom

Lattice parameters (Å, degrees): 3.0193 2.9580 7.6959 90.00 101.21 90.00
With the nearest neighbours (Å) after each atom.
Space group Pm (No. 6)
One atom of each set of equivalent atoms:
Fe (0.0000, 0.0000, 0.0000) [1 per cell]  4 As 2.44
Ag (0.3760, 0.5000, 0.7494) [1 per cell]  4 Fe 2.84, 8 Ag 2.92-3.02, 1 As 3.11
Ag (0.7439, 0.0000, 0.4833) [1 per cell]  2 As 2.85, 8 Ag 2.92-3.02
As (0.5799, 0.5000, 0.1609) [1 per cell]  4 Fe 2.44